Record 1
Computed, not measured: a geometry-optimized MgTaAlRu structure at the PBE-GGA level of DFT.

```
MgTaAlRu
1.0
-0.395 2.796 -3.456
-3.719 2.415 -0.502
0.095 4.410 0.676
Ru Mg Al Ta
1 1 1 1
Direct
0.000 0.000 0.000
0.500 0.500 0.500
0.750 0.750 0.750
0.250 0.250 0.250
```

Output
Raw total energy (eV/atom): -6.91
Volume (Å³/f.u.): 62.9
Magnetization (μB per formula unit): 0.0

Record 2
Computed, not measured: a geometry-optimized Th2MgAl2Ru5 structure at the PBE-GGA level of DFT.

```
Th2MgAl2Ru5
1.0
3.476 0.000 0.000
0.000 10.128 0.000
0.000 0.000 10.128
Th Mg Al Ru
4 2 4 10
Direct
0.000 0.676 0.176
0.000 0.324 0.824
0.000 0.176 0.324
0.000 0.824 0.676
0.000 0.000 0.000
0.000 0.500 0.500
0.000 0.122 0.622
0.000 0.878 0.378
0.000 0.622 0.878
0.000 0.378 0.122
0.500 0.207 0.075
0.500 0.793 0.925
0.500 0.075 0.793
0.500 0.707 0.425
0.500 0.925 0.207
0.500 0.293 0.575
0.500 0.575 0.707
0.500 0.425 0.293
0.500 0.500 0.000
0.500 0.000 0.500
```

Output
Raw total energy (eV/atom): -7.37
D(E_F) (states/eV per cell): 16.2
Volume (Å³/f.u.): 178.3
Magnetization (μB per formula unit): 0.0

Record 3
Computed, not measured: a geometry-optimized MgTiAlRu structure at the PBE-GGA level of DFT.

```
MgTiAlRu
1.0
4.434 0.000 0.000
2.217 3.840 0.000
2.217 1.280 3.621
Ru Mg Al Ti
1 1 1 1
Direct
0.250 0.250 0.250
0.750 0.750 0.750
0.000 0.000 0.000
0.500 0.500 0.500
```

Output
Raw total energy (eV/atom): -5.99
D(E_F) (states/eV per cell): 5.1
Volume (Å³/f.u.): 61.6
Magnetization (μB per formula unit): 0.0

Record 4
Computed, not measured: a geometry-optimized MgAl2VRu structure at the PBE-GGA level of DFT.

```
MgAl2VRu
1.0
-4.233 0.377 1.837
0.385 -4.041 1.715
1.832 1.807 3.848
Ru Mg Al V
1 1 2 1
Direct
0.000 0.500 0.000
0.000 0.000 0.000
0.000 0.000 0.500
0.500 0.000 0.000
0.500 0.500 0.500
```

Output
Raw total energy (eV/atom): -4.05
D(E_F) (states/eV per cell): 7.5
Volume (Å³/f.u.): 94.4
Magnetization (μB per formula unit): 0.0

Record 5
Computed, not measured: a geometry-optimized MgAlZnRu structure at the PBE-GGA level of DFT.

```
MgAlZnRu
1.0
4.377 0.000 0.000
2.189 3.791 0.000
2.189 1.264 3.574
Mg Ru Zn Al
1 1 1 1
Direct
0.000 0.000 0.000
0.750 0.750 0.750
0.250 0.250 0.250
0.500 0.500 0.500
```

Output
Raw total energy (eV/atom): -4.16
D(E_F) (states/eV per cell): 2.3
Volume (Å³/f.u.): 59.3
Magnetization (μB per formula unit): 0.0

Record 6
Computed, not measured: a geometry-optimized MgAl2S4 structure at the PBE-GGA level of DFT.

```
MgAl2S4
1.0
-1.919 -4.227 -2.348
3.478 -2.961 2.489
-3.713 -0.721 4.332
Mg Al S
1 2 4
Direct
0.000 0.000 0.000
0.500 0.000 0.500
0.000 0.500 0.500
0.737 0.263 0.735
0.263 0.263 0.265
0.263 0.737 0.735
0.737 0.737 0.265
```

Output
Raw total energy (eV/atom): -4.83
D(E_F) (states/eV per cell): 0.0
Volume (Å³/f.u.): 155.6
Magnetization (μB per formula unit): 0.0
Formation energy without anion corrections (eV per atom): -1.173